Compound: Mg3BSe
Source: Alexandria via LeMat-Bulk
Functional: GGA-PBE
Structure: optimized geometry

```
data_Mg3BSe
_chemical_formula_sum 'Mg3 B1 Se1'
_space_group_name_H-M_alt 'P m -3 m'
_space_group_IT_number 221
_space_group_name_Hall '-P 4 2 3'
_cell_length_a 4.924
_cell_length_b 4.924
_cell_length_c 4.924
_cell_angle_alpha 90.00
_cell_angle_beta 90.00
_cell_angle_gamma 90.00
loop_
_atom_site_label
_atom_site_type_symbol
_atom_site_fract_x
_atom_site_fract_y
_atom_site_fract_z
Mg1 Mg 0.000 0.000 0.500
B1 B 0.500 0.500 0.500
Se1 Se 0.000 0.000 0.000
```

Results
Formation energy from raw total energies, kJ/mol of atoms: 77.1
Magnetic moment, μB/cell: 0.0